This record from the Alexandria database describes a geometry-optimized FeNi2 structure. The functional is PBE.

Cell: 5.476 5.476 5.476 Å, 90.00 90.00 90.00°
Sites, in units of the cell vectors:
Ni 0.624 0.624 0.624
Ni 0.376 0.376 0.376
Ni 0.376 0.124 0.876
Ni 0.124 0.624 0.876
Ni 0.124 0.876 0.376
Ni 0.624 0.876 0.124
Ni 0.876 0.124 0.624
Ni 0.876 0.376 0.124
Fe 0.500 0.000 0.500
Fe 0.000 0.500 0.500
Fe 0.500 0.500 0.000
Fe 0.000 0.000 0.000

Values from the calculation:
E_tot, eV per atom: -5.945
Formation energy from the elements, eV/atom: 0.73
Volume, Å³/cell: 164.2
DOS(E_F), states/eV per cell: 8.93